{
  "formula": "WSCl2F",
  "functional": "GGA+U",
  "state": "relaxed",
  "volume_a3_per_cell": 105,
  "total_energy_ev_per_atom": -2.902,
  "dos_ef_per_ev_atom": 0.508,
  "cell": [[-1.6223, -3.9024, -3.2953], [-1.3001, -3.0282, 4.2260], [-3.3673, 1.4171, -0.0205]],
  "species": ["Cl", "F", "S", "W", "Cl"],
  "frac_coords": [[0.0000, 0.5000, 0.0000], [0.0000, 0.0000, 0.0000], [0.0000, 0.0000, 0.5000], [0.5000, 0.5000, 0.5000], [0.5000, 0.0000, 0.0000]]
}